Below is a relaxed Cs2YErO4 crystal, with properties calculated at the GGA-PBE level.

a b c (Å): 3.5163 3.5163 13.5546
angles (deg): 90.00 90.00 120.00
Closest atoms and distances in Å follow each position.
Space group P-3m1 (No. 164)
Asymmetric unit:
Cs1 0.3333 0.6667 0.2498 [2 per cell]  6 O 3.03-3.05
Y1 0.0000 0.0000 0.5000 [1 per cell]  6 O 2.33
Er1 0.0000 0.0000 0.0000 [1 per cell]  6 O 2.31
O1 0.3333 0.6667 0.5843 [2 per cell]  3 Y 2.33
O2 0.3333 0.6667 0.9181 [2 per cell]  3 Er 2.31

- size of the total moment (μB/f.u.) = 0.01
- final energy (eV/cell) = -53.6